VASP calculation (GGA-PBE) on a relaxed structure of Zr2AlMoN.

CIF file:
```
data_Zr2AlMoN
_chemical_formula_sum 'Zr2 Al1 Mo1 N1'
_space_group_name_H-M_alt 'P 4/m m m'
_space_group_IT_number 123
_space_group_name_Hall '-P 4 2'
_cell_length_a 4.9844
_cell_length_b 4.9844
_cell_length_c 4.4443
_cell_angle_alpha 90.00
_cell_angle_beta 90.00
_cell_angle_gamma 90.00
loop_
_atom_site_label
_atom_site_type_symbol
_atom_site_fract_x
_atom_site_fract_y
_atom_site_fract_z
Zr1 Zr 0.0000 0.5000 0.0000
Al1 Al 0.0000 0.0000 0.0000
Mo1 Mo 0.0000 0.0000 0.5000
N1 N 0.5000 0.5000 0.5000
```

## Properties
**Density**: 4.803 g cm⁻³
**V**: 22.08 Å³/atom
**Electronic total energy**: -6.12 eV/atom


VASP calculation (GGA-PBE) on a relaxed structure of ZrAlMoN2.

CIF file:
```
data_ZrAlMoN2
_chemical_formula_sum 'Zr1 Al1 Mo1 N2'
_space_group_name_H-M_alt 'P 4/m m m'
_space_group_IT_number 123
_space_group_name_Hall '-P 4 2'
_cell_length_a 3.9633
_cell_length_b 3.9633
_cell_length_c 4.9498
_cell_angle_alpha 90.00
_cell_angle_beta 90.00
_cell_angle_gamma 90.00
loop_
_atom_site_label
_atom_site_type_symbol
_atom_site_fract_x
_atom_site_fract_y
_atom_site_fract_z
Zr1 Zr 0.0000 0.0000 0.0000
Al1 Al 0.5000 0.5000 0.0000
Mo1 Mo 0.5000 0.5000 0.5000
N1 N 0.0000 0.5000 0.5000
```

## Properties
**Density**: 5.172 g cm⁻³
**V**: 15.55 Å³/atom
**Electronic total energy**: -7.48 eV/atom


VASP calculation (GGA-PBE) on a relaxed structure of NaAl2Mo2.

CIF file:
```
data_NaAl2Mo2
_chemical_formula_sum 'Na2 Al4 Mo4'
_space_group_name_H-M_alt 'P 4/m b m'
_space_group_IT_number 127
_space_group_name_Hall '-P 4 2ab'
_cell_length_a 8.1270
_cell_length_b 8.1270
_cell_length_c 2.7216
_cell_angle_alpha 90.00
_cell_angle_beta 90.00
_cell_angle_gamma 90.00
loop_
_atom_site_label
_atom_site_type_symbol
_atom_site_fract_x
_atom_site_fract_y
_atom_site_fract_z
Na1 Na 0.0000 0.0000 0.0000
Al1 Al 0.1798 0.3202 0.0000
Mo1 Mo 0.1109 0.6109 0.5000
```

## Properties
**Density**: 4.967 g cm⁻³
**V**: 17.98 Å³/atom
**Electronic total energy**: -5.98 eV/atom
**Formation energy**: 0.11 eV per atom


VASP calculation (GGA-PBE) on a relaxed structure of Na2AlMo.

CIF file:
```
data_Na2AlMo
_chemical_formula_sum 'Na8 Al4 Mo4'
_space_group_name_H-M_alt 'I -4 2 d'
_space_group_IT_number 122
_space_group_name_Hall 'I -4 2bw'
_cell_length_a 8.4446
_cell_length_b 8.4446
_cell_length_c 5.4003
_cell_angle_alpha 90.00
_cell_angle_beta 90.00
_cell_angle_gamma 90.00
loop_
_atom_site_label
_atom_site_type_symbol
_atom_site_fract_x
_atom_site_fract_y
_atom_site_fract_z
Na1 Na 0.2372 0.7500 0.1250
Al1 Al 0.0000 0.0000 0.0000
Mo1 Mo 0.0000 0.0000 0.5000
```

## Properties
**Density**: 2.913 g cm⁻³
**V**: 24.07 Å³/atom
**Electronic total energy**: -3.24 eV/atom
**Formation energy**: 1.06 eV per atom


VASP calculation (GGA-PBE) on a relaxed structure of NaAl2Mo2.

CIF file:
```
data_NaAl2Mo2
_chemical_formula_sum 'Na2 Al4 Mo4'
_space_group_name_H-M_alt 'P 4/m b m'
_space_group_IT_number 127
_space_group_name_Hall '-P 4 2ab'
_cell_length_a 8.1140
_cell_length_b 8.1140
_cell_length_c 2.7247
_cell_angle_alpha 90.00
_cell_angle_beta 90.00
_cell_angle_gamma 90.00
loop_
_atom_site_label
_atom_site_type_symbol
_atom_site_fract_x
_atom_site_fract_y
_atom_site_fract_z
Na1 Na 0.0000 0.0000 0.0000
Al1 Al 0.1811 0.3189 0.5000
Mo1 Mo 0.1103 0.6103 0.0000
```

## Properties
**Density**: 4.977 g cm⁻³
**V**: 17.94 Å³/atom
**Electronic total energy**: -5.99 eV/atom
**Formation energy**: 0.10 eV per atom


VASP calculation (GGA-PBE) on a relaxed structure of NaAl2Mo2.

CIF file:
```
data_NaAl2Mo2
_chemical_formula_sum 'Na2 Al4 Mo4'
_space_group_name_H-M_alt 'I 4/m m m'
_space_group_IT_number 139
_space_group_name_Hall '-I 4 2'
_cell_length_a 3.7736
_cell_length_b 3.7736
_cell_length_c 13.1933
_cell_angle_alpha 90.00
_cell_angle_beta 90.00
_cell_angle_gamma 90.00
loop_
_atom_site_label
_atom_site_type_symbol
_atom_site_fract_x
_atom_site_fract_y
_atom_site_fract_z
Na1 Na 0.0000 0.0000 0.0000
Al1 Al 0.0000 0.0000 0.3983
Mo1 Mo 0.0000 0.5000 0.2500
```

## Properties
**Density**: 4.752 g cm⁻³
**V**: 18.79 Å³/atom
**Electronic total energy**: -5.76 eV/atom
**Formation energy**: 0.34 eV per atom


no.,M_tot (μB/f.u.)
1,0.00
2,0.00
3,0.00
4,3.12
5,0.00
6,0.00